The following is a GGA-PBE calculation of a relaxed V3PtS crystal, from the Alexandria database.

Cell lengths 4.2582, 4.2582, 4.2582 Å; angles 90.00, 90.00, 90.00 degrees
Last column: nearest neighbours and their distance in Å.
Element x y z (fractional)
S 0.0000 0.0000 0.0000  6 V 2.13
Pt 0.5000 0.5000 0.5000  12 V 3.01
V 0.0000 0.5000 0.0000  2 S 2.13
V 0.0000 0.0000 0.5000  2 S 2.13
V 0.5000 0.0000 0.0000  2 S 2.13

Magnetization ... 3.3 μB per cell
Energy above the most stable polymorph in this dataset ... 0 meV/atom
Uncorrected formation energy ... -50.9 meV/atom